VASP calculation (PBE) on an optimized crystal structure of Pm2AlCuS5.

Summary:
formation energy without anion corrections = -1481 meV/atom

abc: 3.898 17.317 10.949
angles: 90.00 90.00 90.00
Space group Cmc2_1 (No. 36)
Symmetry-distinct sites (fractional):
Pm (0.000, 0.108, 0.000) x4
Pm (0.000, 0.119, 0.620) x4
Al (0.000, 0.406, 0.791) x4
Cu (0.000, 0.251, 0.429) x4
S (0.000, 0.042, 0.374) x4
S (0.000, 0.309, 0.646) x4
S (0.000, 0.313, 0.958) x4
S (0.000, 0.358, 0.314) x4
S (0.000, 0.493, 0.615) x4


VASP calculation (PBE) on an optimized crystal structure of Nd2Ho5Tm12.

Summary:
E_form = 0.133 eV/atom

abc: 15.654 9.137 8.415
angles: 90.00 91.23 90.00
Space group C2/m (No. 12)
Symmetry-distinct sites (fractional):
Nd (0.000, 0.187, 0.000) x4
Ho (0.000, 0.500, 0.500) x2
Ho (0.197, 0.000, 0.007) x4
Ho (0.234, 0.500, 0.578) x4
Tm (0.056, 0.000, 0.328) x4
Tm (0.094, 0.500, 0.883) x4
Tm (0.127, 0.192, 0.651) x8
Tm (0.157, 0.319, 0.247) x8


VASP calculation (PBE) on an optimized crystal structure of BaNaOsO6.

Summary:
formation energy without anion corrections = -1399 meV/atom

abc: 4.904 5.571 5.702
angles: 62.16 89.93 89.95
Space group P1 (No. 1)
Symmetry-distinct sites (fractional):
Ba (0.000, 0.000, 0.000) x1
Na (0.482, 0.663, 0.660) x1
Os (0.371, 0.315, 0.346) x1
O (0.135, 0.447, 0.502) x1
O (0.143, 0.493, 0.015) x1
O (0.156, 0.011, 0.447) x1
O (0.518, 0.256, 0.062) x1
O (0.575, 0.626, 0.231) x1
O (0.613, 0.111, 0.599) x1


VASP calculation (PBE) on an optimized crystal structure of RbIrRu.

Summary:
E_form = 0.506 eV/atom

abc: 6.882 5.998 8.009
angles: 90.00 90.10 90.00
Space group C2/m (No. 12)
Symmetry-distinct sites (fractional):
Rb (0.247, 0.000, 0.151) x4
Ir (0.215, 0.000, 0.617) x4
Ru (0.000, 0.280, 0.500) x4


VASP calculation (PBE) on an optimized crystal structure of SiAs2Br.

Summary:
formation energy without anion corrections = 328 meV/atom

abc: 3.387 3.387 8.055
angles: 90.00 90.00 90.00
Space group P4mm (No. 99)
Symmetry-distinct sites (fractional):
Si (0.000, 0.000, 0.000) x1
As (0.000, 0.000, 0.376) x1
As (0.500, 0.500, 0.225) x1
Br (0.500, 0.500, 0.783) x1


VASP calculation (PBE) on an optimized crystal structure of LiTb2Sc.

Summary:
E_form = 0.114 eV/atom

abc: 5.427 5.427 3.667
angles: 90.00 90.00 90.00
Space group P4/mmm (No. 123)
Symmetry-distinct sites (fractional):
Li (0.000, 0.000, 0.000) x1
Tb (0.000, 0.500, 0.500) x2
Sc (0.500, 0.500, 0.000) x1


VASP calculation (PBE) on an optimized crystal structure of Sm6C2S3N.

Summary:
formation energy without anion corrections = -1390 meV/atom

abc: 16.982 3.797 7.828
angles: 90.00 105.83 90.00
Space group C2/m (No. 12)
Symmetry-distinct sites (fractional):
Sm (0.009, 0.000, 0.230) x4
Sm (0.159, 0.500, 0.102) x4
Sm (0.174, 0.500, 0.564) x4
C (0.164, 0.000, 0.329) x4
S (0.000, 0.500, 0.500) x2
S (0.166, 0.000, 0.833) x4
N (0.000, 0.500, 0.000) x2


VASP calculation (PBE) on an optimized crystal structure of Ti3Ni2Au3.

Summary:
E_form = -0.425 eV/atom

abc: 6.8233 6.8233 3.1032
angles: 90.00 90.00 120.00
Space group P-62m (No. 189)
Symmetry-distinct sites (fractional):
Ti (0.0000, 0.4157, 0.0000) x3
Ni (0.3333, 0.6667, 0.5000) x2
Au (0.0000, 0.7562, 0.5000) x3


VASP calculation (PBE) on an optimized crystal structure of Mg2Cu3Si.

Summary:
formation energy without anion corrections = -230 meV/atom

abc: 5.0610 5.0610 7.8011
angles: 90.00 90.00 120.00
Space group P6_3/mmc (No. 194)
Symmetry-distinct sites (fractional):
Mg (0.3333, 0.6667, 0.0607) x4
Cu (0.1688, 0.3377, 0.7500) x6
Si (0.0000, 0.0000, 0.0000) x2


VASP calculation (PBE) on an optimized crystal structure of Cu2HgPd2.

Summary:
E_form = -0.021 eV/atom

abc: 7.388 4.658 4.822
angles: 90.00 110.94 90.00
Space group C2/m (No. 12)
Symmetry-distinct sites (fractional):
Cu (0.207, 0.000, 0.098) x4
Hg (0.000, 0.000, 0.500) x2
Pd (0.105, 0.500, 0.294) x4


VASP calculation (PBE) on an optimized crystal structure of VTeRu.

Summary:
formation energy without anion corrections = 26 meV/atom

abc: 6.086 12.365 3.098
angles: 90.00 115.82 90.00
Space group C2/m (No. 12)
Symmetry-distinct sites (fractional):
V (0.000, 0.118, 0.000) x4
Te (0.000, 0.316, 0.500) x4
Ru (0.242, 0.500, 0.293) x4


VASP calculation (PBE) on an optimized crystal structure of NpScCr2S6.

Summary:
formation energy without anion corrections = -1094 meV/atom

abc: 6.3895 6.3895 17.2057
angles: 90.00 90.00 120.00
Space group R3 (No. 146, hexagonal axes)
Symmetry-distinct sites (fractional):
Np (0.0000, 0.0000, 0.0000) x3
Sc (0.0000, 0.0000, 0.5047) x3
Cr (0.0000, 0.0000, 0.1939) x3
Cr (0.0000, 0.0000, 0.6958) x3
S (0.0352, 0.6940, 0.7721) x9
S (0.0561, 0.3438, 0.2697) x9


VASP calculation (PBE) on an optimized crystal structure of NpIn2Ag.

Summary:
E_form = 0.148 eV/atom

abc: 4.807 7.213 6.032
angles: 90.00 113.31 90.00
Space group P2_1/m (No. 11)
Symmetry-distinct sites (fractional):
Np (0.084, 0.250, 0.166) x2
In (0.371, 0.046, 0.743) x4
Ag (0.201, 0.750, 0.402) x2


VASP calculation (PBE) on an optimized crystal structure of HoFe10Mo2N.

Summary:
formation energy without anion corrections = -117 meV/atom

abc: 4.747 8.610 8.676
angles: 90.00 90.00 90.00
Space group Immm (No. 71)
Symmetry-distinct sites (fractional):
Ho (0.000, 0.000, 0.000) x2
Fe (0.000, 0.000, 0.360) x4
Fe (0.000, 0.278, 0.500) x4
Fe (0.000, 0.500, 0.280) x4
Fe (0.250, 0.250, 0.250) x8
Mo (0.000, 0.358, 0.000) x4
N (0.000, 0.500, 0.500) x2


VASP calculation (PBE) on an optimized crystal structure of Pm2PrTh2.

Summary:
E_form = 0.027 eV/atom

abc: 3.617 3.617 25.919
angles: 90.00 90.00 90.00
Space group I4/mmm (No. 139)
Symmetry-distinct sites (fractional):
Pm (0.000, 0.000, 0.105) x4
Pr (0.000, 0.000, 0.500) x2
Th (0.000, 0.000, 0.297) x4


VASP calculation (PBE) on an optimized crystal structure of La2ZnInNi6.

Summary:
E_form = 0.216 eV/atom

abc: 9.206 9.206 9.206
angles: 90.00 90.00 90.00
Space group Fm-3m (No. 225)
Symmetry-distinct sites (fractional):
La (0.250, 0.250, 0.250) x8
Zn (0.000, 0.000, 0.000) x4
In (0.000, 0.000, 0.500) x4
Ni (0.000, 0.000, 0.240) x24


VASP calculation (PBE) on an optimized crystal structure of YNi2Sb.

Summary:
formation energy without anion corrections = -234 meV/atom

abc: 3.346 3.346 6.580
angles: 90.00 90.00 90.00
Space group P4mm (No. 99)
Symmetry-distinct sites (fractional):
Y (0.000, 0.000, 0.000) x1
Ni (0.000, 0.000, 0.434) x1
Ni (0.500, 0.500, 0.238) x1
Sb (0.500, 0.500, 0.623) x1


VASP calculation (PBE) on an optimized crystal structure of PrEr3Th.

Summary:
E_form = 0.040 eV/atom

abc: 6.288 6.767 9.210
angles: 71.55 89.91 62.38
Space group P-1 (No. 2)
Symmetry-distinct sites (fractional):
Pr (0.135, 0.404, 0.347) x2
Er (0.059, 0.200, 0.052) x2
Er (0.271, 0.799, 0.453) x2
Er (0.338, 0.995, 0.758) x2
Th (0.472, 0.401, 0.849) x2


VASP calculation (PBE) on an optimized crystal structure of MnAg2Pt.

Summary:
E_form = 0.363 eV/atom

abc: 7.406 7.406 5.342
angles: 90.00 90.00 90.00
Space group I-42d (No. 122)
Symmetry-distinct sites (fractional):
Mn (0.000, 0.000, 0.000) x4
Ag (0.247, 0.750, 0.125) x8
Pt (0.000, 0.000, 0.500) x4


VASP calculation (PBE) on an optimized crystal structure of Ag3Rh.

Summary:
E_form = 0.222 eV/atom

abc: 2.760 4.752 5.191
angles: 90.00 95.22 90.00
Space group P2/m (No. 10)
Symmetry-distinct sites (fractional):
Ag (0.000, 0.000, 0.000) x1
Ag (0.240, 0.500, 0.746) x2
Rh (0.500, 0.000, 0.500) x1